LaHgSb2 | GGA-PBE | optimized geometry

CIF file:
```
data_LaHgSb2
_chemical_formula_sum 'La1 Hg1 Sb2'
_cell_length_a 3.341
_cell_length_b 3.341
_cell_length_c 11.233
_cell_angle_alpha 90.00
_cell_angle_beta 90.00
_cell_angle_gamma 90.02
_space_group_name_H-M_alt 'P 1'
_space_group_IT_number 1
_space_group_name_Hall 'P 1'
loop_
_atom_site_label
_atom_site_fract_x
_atom_site_fract_y
_atom_site_fract_z
Hg1 0.500 0.500 0.250
La1 0.500 0.500 0.750
Sb1 0.000 0.000 0.971
Sb2 0.000 0.000 0.529
```

Output
- total moment (μB per cell) = 0.0
- E (eV/cell) = -14.7
- E_form (uncorrected) (eV/atom) = -0.309